Tm11Tl9In4 PBE-GGA optimized geometry; SG = Cmmm, No. 65; energy relative to the elements = -674 kJ/mol of formula units
1.0
3.5528 0.0000 0.0000
0.0000 12.8763 -4.0738
0.0000 1.3141 13.4413
Tm Tl In
11 9 4
Direct
0.0000 0.5931 0.9326
0.0000 0.4069 0.0674
0.0000 0.9326 0.5931
0.0000 0.0674 0.4069
0.0000 0.6358 0.3642
0.0000 0.3642 0.6358
0.0000 0.8135 0.1865
0.0000 0.1865 0.8135
0.0000 0.0000 0.0000
0.0000 0.7715 0.7715
0.0000 0.2285 0.2285
0.5000 0.6099 0.1454
0.5000 0.3901 0.8546
0.5000 0.1454 0.6099
0.5000 0.8546 0.3901
0.5000 0.7972 0.9801
0.5000 0.2028 0.0199
0.5000 0.9801 0.7972
0.5000 0.0199 0.2028
0.5000 0.5000 0.5000
0.5000 0.5712 0.7317
0.5000 0.4288 0.2683
0.5000 0.7317 0.5712
0.5000 0.2683 0.4288

=====

Zn2Sn2Hg PBE-GGA optimized geometry; SG = P4/mbm, No. 127; energy relative to the elements = 64 kJ/mol of formula units
1.0
-4.9760 -5.8394 -3.3633
4.5363 -5.9943 3.6960
-1.9898 0.1494 2.6845
Zn Hg Sn
4 2 4
Direct
0.1509 0.6509 0.5000
0.6509 0.8491 0.5000
0.8491 0.3491 0.5000
0.3491 0.1509 0.5000
0.0000 0.0000 0.0000
0.5000 0.5000 0.0000
0.3558 0.8558 0.0000
0.8558 0.6442 0.0000
0.6442 0.1442 0.0000
0.1442 0.3558 0.0000

=====

NaP3N PBE-GGA optimized geometry; SG = Pm-3m, No. 221; E_form (uncorrected) = 393 kJ/mol of formula units
1.0
-3.2027 0.9320 2.5649
2.0688 -1.7498 3.2191
1.7796 3.7114 0.8736
P N Na
3 1 1
Direct
0.0000 0.5000 0.0000
0.0000 0.0000 0.5000
0.5000 0.0000 0.0000
0.0000 0.0000 0.0000
0.5000 0.5000 0.5000

=====

AsSI PBE-GGA optimized geometry; SG = P-1, No. 2; E_form (uncorrected) = -47 kJ/mol of formula units
1.0
-0.4428 -1.2690 3.7725
-5.3779 -3.5643 -2.3075
0.3388 -8.9271 -1.5653
As S I
2 2 2
Direct
0.7763 0.7773 0.5150
0.2237 0.2227 0.4850
0.7145 0.9517 0.6751
0.2855 0.0483 0.3249
0.0792 0.4133 0.7629
0.9208 0.5867 0.2371

=====

Ti2SnP PBE-GGA optimized geometry; SG = R-3m, No. 166; energy relative to the elements = -276 kJ/mol of formula units
1.0
-0.6619 -1.6156 2.9938
0.5654 -3.4067 0.2925
6.5612 -0.3954 3.2431
P Sn Ti
1 1 2
Direct
0.0000 0.0000 0.0000
0.5000 0.5000 0.5000
0.2706 0.2706 0.1881
0.7294 0.7294 0.8119

=====

SrMg2Mo PBE-GGA optimized geometry; SG = P4mm, No. 99; energy relative to the elements = 227 kJ/mol of formula units
1.0
3.6267 0.0000 0.0000
0.0000 3.6267 0.0000
0.0000 0.0000 7.9791
Mg Mo Sr
2 1 1
Direct
0.0000 0.0000 0.0646
0.5000 0.5000 0.2837
0.0000 0.0000 0.4371
0.5000 0.5000 0.7145

=====

Number 1: VASP energy -88.42 eV per formula unit, Fermi-level density of states 16.621 states/eV/cell, total moment 0.8 μB per cell. Number 2: VASP energy -10.19 eV per formula unit, Fermi-level density of states 2.845 states/eV/cell, total moment 0.0 μB per cell. Number 3: VASP energy -21.80 eV per formula unit, Fermi-level density of states 3.060 states/eV/cell, total moment 0.0 μB per cell. Number 4: VASP energy -10.82 eV per formula unit, Fermi-level density of states 0.000 states/eV/cell, total moment 0.0 μB per cell. Number 5: VASP energy -28.07 eV per formula unit, Fermi-level density of states 3.486 states/eV/cell, total moment 0.0 μB per cell. Number 6: VASP energy -13.35 eV per formula unit, Fermi-level density of states 4.123 states/eV/cell, total moment 2.4 μB per cell.